ThScBiSb after structural relaxation, computed with PBE.

Lattice parameters (Å, degrees): 5.2764 5.2764 32.9829 90.00 90.00 120.00
Space group R-3m (No. 166, hexagonal axes)
Unique sites:
1 Th 0.0000 0.0000 0.1109 (multiplicity 6)
2 Sc 0.0000 0.0000 0.2934 (multiplicity 6)
3 Bi 0.0000 0.0000 0.3846 (multiplicity 6)
4 Sb 0.0000 0.0000 0.2048 (multiplicity 6)

Output
Uncorrected formation energy in eV/f.u.: -2.0
M_tot in μB per formula unit: 0.252
Calculated total energy in eV per atom: -5.928
ρ in g cm⁻³: 7.6
Crystal system: trigonal